Record 1
# CsBiS2N

An optimized crystal structure of CsBiS2N (GGA-PBE, Alexandria).

a = 5.6176 Å, b = 5.6176 Å, c = 4.3134 Å
α = 90.00°, β = 90.00°, γ = 90.00°
Fractional coordinates of all 5 atoms:
Cs 0.0000 0.0000 0.0000
Bi 0.5000 0.5000 0.5000
S 0.0000 0.5000 0.0000
S 0.5000 0.0000 0.0000
N 0.0000 0.0000 0.5000

Properties
As for the space-group type: P4/mmm, No. 123. The value obtained for the formation energy (no corrections) is 1.696 eV/atom. For the energy above the lowest structure with this stoichiometry, the calculation gives 6.70 eV per formula unit. The calculation puts the total energy at -2.567 eV per atom.


Record 2
# CsBiSN2

An optimized crystal structure of CsBiSN2 (GGA-PBE, Alexandria).

a = 4.3798 Å, b = 4.3798 Å, c = 6.2461 Å
α = 90.00°, β = 90.00°, γ = 90.00°
Fractional coordinates of all 5 atoms:
Cs 0.0000 0.0000 0.0000
Bi 0.5000 0.5000 0.5000
S 0.0000 0.0000 0.5000
N 0.0000 0.5000 0.0000
N 0.5000 0.0000 0.0000

Properties
As for the space-group type: P4/mmm, No. 123. The value obtained for the formation energy (no corrections) is 2.095 eV/atom. For the energy above the lowest structure with this stoichiometry, the calculation gives 5.56 eV per formula unit. The calculation puts the total energy at -3.007 eV per atom.


Record 3
# CsBiS2N

An optimized crystal structure of CsBiS2N (GGA-PBE, Alexandria).

a = 5.4123 Å, b = 5.4123 Å, c = 4.8621 Å
α = 90.00°, β = 90.00°, γ = 90.00°
Fractional coordinates of all 5 atoms:
Cs 0.0000 0.0000 0.0000
Bi 0.5000 0.5000 0.5000
S 0.0000 0.5000 0.5000
S 0.5000 0.0000 0.5000
N 0.5000 0.5000 0.0000

Properties
As for the space-group type: P4/mmm, No. 123. The value obtained for the formation energy (no corrections) is 0.357 eV/atom. For the energy above the lowest structure with this stoichiometry, the calculation gives 0.00 eV per formula unit. The calculation puts the total energy at -3.906 eV per atom.


Record 4
# Cs2BiSeN

An optimized crystal structure of Cs2BiSeN (GGA-PBE, Alexandria).

a = 7.4875 Å, b = 7.4875 Å, c = 5.5579 Å
α = 90.00°, β = 90.00°, γ = 90.00°
Fractional coordinates of all 5 atoms:
Cs 0.0000 0.5000 0.0000
Cs 0.5000 0.0000 0.0000
Bi 0.0000 0.0000 0.0000
Se 0.0000 0.0000 0.5000
N 0.5000 0.5000 0.5000

Properties
As for the space-group type: P4/mmm, No. 123. The value obtained for the formation energy (no corrections) is 0.631 eV/atom. The calculation puts the total energy at -2.848 eV per atom.


Record 5
# CsBiTeN2

An optimized crystal structure of CsBiTeN2 (GGA-PBE, Alexandria).

a = 5.0555 Å, b = 5.0555 Å, c = 6.1081 Å
α = 90.00°, β = 90.00°, γ = 90.00°
Fractional coordinates of all 5 atoms:
Cs 0.0000 0.0000 0.0000
Bi 0.5000 0.5000 0.5000
Te 0.5000 0.5000 0.0000
N 0.0000 0.5000 0.5000
N 0.5000 0.0000 0.5000

Properties
As for the space-group type: P4/mmm, No. 123. The value obtained for the formation energy (no corrections) is 1.124 eV/atom. For the energy above the lowest structure with this stoichiometry, the calculation gives 0.00 eV per formula unit. The calculation puts the total energy at -3.781 eV per atom.


Record 6
# CsBiTeN2

An optimized crystal structure of CsBiTeN2 (GGA-PBE, Alexandria).

a = 4.5576 Å, b = 4.5576 Å, c = 7.5050 Å
α = 90.00°, β = 90.00°, γ = 90.00°
Fractional coordinates of all 5 atoms:
Cs 0.0000 0.0000 0.0000
Bi 0.5000 0.5000 0.5000
Te 0.0000 0.0000 0.5000
N 0.0000 0.5000 0.0000
N 0.5000 0.0000 0.0000

Properties
As for the space-group type: P4/mmm, No. 123. The value obtained for the formation energy (no corrections) is 2.060 eV/atom. For the energy above the lowest structure with this stoichiometry, the calculation gives 4.68 eV per formula unit. The calculation puts the total energy at -2.845 eV per atom.


Record 7
# CsNa2Bi

An optimized crystal structure of CsNa2Bi (GGA-PBE, Alexandria).

a = 11.2387 Å, b = 11.2387 Å, c = 11.2387 Å
α = 146.70°, β = 146.70°, γ = 47.80°
Fractional coordinates of all 8 atoms:
Cs 0.0000 0.0000 0.0000
Cs 0.7500 0.2500 0.5000
Na 0.3443 0.6250 0.2193
Na 0.3750 0.5943 0.7193
Na 0.4057 0.1250 0.7807
Na 0.8750 0.6557 0.2807
Bi 0.2500 0.7500 0.5000
Bi 0.5000 0.5000 0.0000

Properties
As for the space-group type: I-42d, No. 122. The energy of formation comes out at -0.189 eV per atom. The calculation puts the total energy at -2.032 eV per atom.


Record 8
# Cs3NaBi

An optimized crystal structure of Cs3NaBi (GGA-PBE, Alexandria).

a = 7.5969 Å, b = 7.5969 Å, c = 7.5969 Å
α = 90.00°, β = 90.00°, γ = 90.00°
Fractional coordinates of all 5 atoms:
Cs 0.0000 0.0000 0.5000
Cs 0.0000 0.5000 0.0000
Cs 0.5000 0.0000 0.0000
Na 0.5000 0.5000 0.5000
Bi 0.0000 0.0000 0.0000

Properties
As for the space-group type: Pm-3m, No. 221. The energy of formation comes out at -0.069 eV per atom. For the energy above the lowest structure with this stoichiometry, the calculation gives 0.48 eV per formula unit. The calculation puts the total energy at -1.621 eV per atom.


Record 9
# CsNa2Bi2

An optimized crystal structure of CsNa2Bi2 (GGA-PBE, Alexandria).

a = 7.6109 Å, b = 7.6109 Å, c = 7.6109 Å
α = 137.02°, β = 137.02°, γ = 62.40°
Fractional coordinates of all 5 atoms:
Cs 0.0000 0.0000 0.0000
Na 0.3625 0.3625 0.0000
Na 0.6375 0.6375 0.0000
Bi 0.2500 0.7500 0.5000
Bi 0.7500 0.2500 0.5000

Properties
As for the space-group type: I4/mmm, No. 139. The energy of formation comes out at -0.184 eV per atom. For the energy above the lowest structure with this stoichiometry, the calculation gives 0.64 eV per formula unit. The calculation puts the total energy at -2.435 eV per atom.


Record 10
# CsNa12Bi6

An optimized crystal structure of CsNa12Bi6 (GGA-PBE, Alexandria).

a = 9.1513 Å, b = 9.1513 Å, c = 9.1513 Å
α = 103.33°, β = 103.33°, γ = 103.33°
Fractional coordinates of all 19 atoms:
Cs 0.0000 0.0000 0.0000
Na 0.1168 0.5000 0.8832
Na 0.1168 0.8832 0.5000
Na 0.1581 0.4428 0.4428
Na 0.4428 0.1581 0.4428
Na 0.4428 0.4428 0.1581
Na 0.5000 0.1168 0.8832
Na 0.5000 0.8832 0.1168
Na 0.5572 0.5572 0.8419
Na 0.5572 0.8419 0.5572
Na 0.8419 0.5572 0.5572
Na 0.8832 0.1168 0.5000
Na 0.8832 0.5000 0.1168
Bi 0.2533 0.2533 0.7007
Bi 0.2533 0.7007 0.2533
Bi 0.2993 0.7467 0.7467
Bi 0.7007 0.2533 0.2533
Bi 0.7467 0.2993 0.7467
Bi 0.7467 0.7467 0.2993

Properties
As for the space-group type: R-3m, No. 166. The energy of formation comes out at -0.231 eV per atom. The calculation puts the total energy at -2.334 eV per atom.


Record 11
# Cs2NaBi

An optimized crystal structure of Cs2NaBi (GGA-PBE, Alexandria).

a = 13.6608 Å, b = 13.6608 Å, c = 13.6608 Å
α = 156.47°, β = 156.47°, γ = 33.52°
Fractional coordinates of all 8 atoms:
Cs 0.1223 0.6250 0.9973
Cs 0.3750 0.3723 0.4973
Cs 0.6277 0.1250 0.0027
Cs 0.8750 0.8777 0.5027
Na 0.0000 0.0000 0.0000
Na 0.7500 0.2500 0.5000
Bi 0.2500 0.7500 0.5000
Bi 0.5000 0.5000 0.0000

Properties
As for the space-group type: I-42d, No. 122. The energy of formation comes out at -0.007 eV per atom. The calculation puts the total energy at -1.734 eV per atom.


Record 12
# CsNa2Bi2

An optimized crystal structure of CsNa2Bi2 (GGA-PBE, Alexandria).

a = 7.5356 Å, b = 7.5356 Å, c = 7.5356 Å
α = 136.15°, β = 136.15°, γ = 63.75°
Fractional coordinates of all 5 atoms:
Cs 0.0000 0.0000 0.0000
Na 0.2500 0.7500 0.5000
Na 0.7500 0.2500 0.5000
Bi 0.3839 0.3839 0.0000
Bi 0.6161 0.6161 0.0000

Properties
As for the space-group type: I4/mmm, No. 139. The energy of formation comes out at -0.312 eV per atom. For the energy above the lowest structure with this stoichiometry, the calculation gives 0.00 eV per formula unit. The calculation puts the total energy at -2.563 eV per atom.


Number 1: ρ 5.1 g/cm³, magnetic moment 0.000 μB per cell. Number 2: ρ 5.6 g/cm³, magnetic moment 1.149 μB per cell. Number 3: ρ 4.9 g/cm³, magnetic moment 2.283 μB per cell. Number 4: ρ 3.0 g/cm³, magnetic moment 2.361 μB per cell. Number 5: ρ 5.3 g/cm³, magnetic moment 4.005 μB per cell. Number 6: ρ 5.3 g/cm³, magnetic moment 2.631 μB per cell. Number 7: ρ 3.0 g/cm³, magnetic moment 0.000 μB per cell. Number 8: ρ 2.4 g/cm³, magnetic moment 1.078 μB per cell. Number 9: ρ 4.9 g/cm³, magnetic moment 0.000 μB per cell. Number 10: ρ 4.0 g/cm³, magnetic moment 0.000 μB per cell. Number 11: ρ 4.1 g/cm³, magnetic moment 0.000 μB per cell. Number 12: ρ 4.9 g/cm³, magnetic moment 0.000 μB per cell.